No. 1
First-principles (GGA-PBE) data for a relaxed structure of LiZrAu2, as listed in Alexandria via LeMat-Bulk.

- D(E_F): 1.76 states/eV per cell
- Calculated formation energy: -0.50 eV/atom
- Uncorrected energy: -4.753 eV/atom
- Crystal system: orthorhombic

Cell lengths 2.923, 4.965, 5.094 Å; angles 90.00, 90.00, 90.00 degrees
Sites, in units of the cell vectors:
Li: 0.000 0.000 0.000
Zr: 0.000 0.500 0.571
Au: 0.500 0.000 0.473
Au: 0.500 0.500 0.069

***

No. 2
First-principles (GGA-PBE) data for a relaxed structure of Li5ZrAu6, as listed in Alexandria via LeMat-Bulk.

- D(E_F): 3.92 states/eV per cell
- Calculated formation energy: -0.52 eV/atom
- Uncorrected energy: -3.672 eV/atom
- Crystal system: orthorhombic

Cell lengths 7.880, 7.880, 7.880 Å; angles 145.81, 133.29, 59.14 degrees
Sites, in units of the cell vectors:
Li: 0.000 0.000 0.000
Li: 0.167 0.667 0.500
Li: 0.336 0.336 0.000
Li: 0.664 0.664 0.000
Li: 0.833 0.333 0.500
Zr: 0.500 0.000 0.500
Au: 0.073 0.829 0.244
Au: 0.236 0.500 0.736
Au: 0.415 0.171 0.244
Au: 0.585 0.829 0.756
Au: 0.764 0.500 0.264
Au: 0.927 0.171 0.756

***

No. 3
First-principles (GGA-PBE) data for a relaxed structure of Li2ZrAu, as listed in Alexandria via LeMat-Bulk.

- D(E_F): 2.33 states/eV per cell
- Calculated formation energy: -0.11 eV/atom
- Uncorrected energy: -4.020 eV/atom
- Crystal system: monoclinic

Cell lengths 5.152, 5.152, 5.210 Å; angles 101.71, 101.71, 32.86 degrees
Sites, in units of the cell vectors:
Li: 0.000 0.000 0.000
Li: 0.245 0.245 0.826
Zr: 0.468 0.468 0.479
Au: 0.714 0.714 0.278

***

No. 4
First-principles (GGA-PBE) data for a relaxed structure of LiZrAu, as listed in Alexandria via LeMat-Bulk.

- D(E_F): 3.10 states/eV per cell
- Calculated formation energy: -0.10 eV/atom
- Uncorrected energy: -4.679 eV/atom
- Crystal system: cubic

Cell lengths 4.516, 4.516, 4.516 Å; angles 60.00, 60.00, 60.00 degrees
Sites, in units of the cell vectors:
Li: 0.000 0.000 0.000
Zr: 0.500 0.500 0.500
Au: 0.750 0.750 0.750

***

No. 5
First-principles (GGA-PBE) data for a relaxed structure of LiZrAu, as listed in Alexandria via LeMat-Bulk.

- D(E_F): 2.36 states/eV per cell
- Calculated formation energy: -0.31 eV/atom
- Uncorrected energy: -4.885 eV/atom
- Crystal system: trigonal

Cell lengths 4.551, 4.551, 2.997 Å; angles 90.00, 90.00, 120.00 degrees
Sites, in units of the cell vectors:
Li: 0.000 0.000 0.000
Zr: 0.667 0.333 0.498
Au: 0.333 0.667 0.996

***

No. 6
First-principles (GGA-PBE) data for a relaxed structure of Li2ZrAu8, as listed in Alexandria via LeMat-Bulk.

- D(E_F): 3.91 states/eV per cell
- Calculated formation energy: -0.38 eV/atom
- Uncorrected energy: -3.886 eV/atom
- Crystal system: triclinic

Cell lengths 5.022, 5.082, 7.855 Å; angles 97.15, 97.51, 95.19 degrees
Sites, in units of the cell vectors:
Li: 0.100 0.310 0.275
Li: 0.900 0.690 0.725
Zr: 0.500 0.500 0.000
Au: 0.036 0.766 0.089
Au: 0.214 0.859 0.456
Au: 0.341 0.412 0.635
Au: 0.430 0.948 0.815
Au: 0.570 0.052 0.185
Au: 0.659 0.588 0.365
Au: 0.786 0.141 0.544
Au: 0.964 0.234 0.911